# RbVF3 | Alexandria via LeMat-Bulk | GGA+U | relaxed
data_RbVF3
_chemical_formula_sum 'Rb2 V2 F6'
_symmetry_space_group_name_H-M 'P -1'
_symmetry_Int_Tables_number 2
_cell_length_a 3.984
_cell_length_b 7.534
_cell_length_c 7.602
_cell_angle_alpha 110.24
_cell_angle_beta 102.39
_cell_angle_gamma 99.76
loop_
_symmetry_equiv_pos_as_xyz
'x,y,z'
'-x,-y,-z'
loop_
_atom_site_label
_atom_site_fract_x
_atom_site_fract_y
_atom_site_fract_z
Rb1 0.014 0.284 0.223
V1 0.417 0.170 0.674
F1 0.334 0.164 0.916
F2 0.335 0.416 0.670
F3 0.439 0.881 0.584
# crystal system = triclinic
# VASP energy = -5.332 eV per atom